# TlTc2As

A crystal of TlTc2As relaxed with PBEsol (meta-GGA SCAN, Alexandria via LeMat-Bulk).

Cell lengths 2.9856, 2.9856, 8.4110 Å; angles 90.00, 90.00, 117.44 degrees
Fractional positions:
As 0.5000 0.5000 0.0000
Tl 0.5000 0.5000 0.5000
Tc 0.0000 0.0000 0.2194
Tc 0.0000 0.0000 0.7806

## Properties
The calculation puts the total energy at -40.136 eV per atom. The energy above the most stable polymorph in this dataset comes out at 204.4 meV per atom. The calculation puts the calculated formation energy at 531 meV/atom.

# KIr3Br

A crystal of KIr3Br relaxed with PBEsol (meta-GGA SCAN, Alexandria via LeMat-Bulk).

Cell lengths 4.8126, 4.8126, 4.8126 Å; angles 90.00, 90.00, 90.00 degrees
Each line ends with the local moment (μB).
Fractional positions:
K 0.0000 0.0000 0.0000  -0.01
Ir 0.0000 0.5000 0.0000  1.48
Ir 0.0000 0.0000 0.5000  1.48
Ir 0.5000 0.0000 0.0000  1.48
Br 0.5000 0.5000 0.5000  0.30

## Properties
The calculation puts the total energy at -44.674 eV per atom. The formation energy (no corrections) comes out at 17.716 eV/f.u.

# Rb2NaCaTa

A crystal of Rb2NaCaTa relaxed with PBEsol (meta-GGA SCAN, Alexandria via LeMat-Bulk).

Cell lengths 6.0263, 6.0263, 6.4239 Å; angles 90.00, 90.00, 90.00 degrees
Each line ends with the local moment (μB).
Fractional positions:
Na 0.0000 0.0000 0.0000  -0.05
Ca 0.0000 0.0000 0.5000  0.02
Rb 0.0000 0.5000 0.0000  0.02
Rb 0.5000 0.0000 0.0000  0.02
Ta 0.5000 0.5000 0.5000  2.35

## Properties
The calculation puts the total energy at -22.834 eV per atom. The calculation puts the calculated formation energy at 1554 meV/atom.